Record 1
{
  "formula": "TcW3",
  "functional": "PBE",
  "state": "optimized geometry",
  "e_tot_ev_per_fu": -47.91,
  "space_group": "I4/mmm",
  "n_ef_per_ev_atom": 1.245,
  "lattice_angstrom": [[3.894, 0.000, 0.000], [0.000, 3.894, 0.000], [0.000, 0.000, 8.441]],
  "species": ["Tc", "Tc", "W", "W", "W", "W", "W", "W"],
  "frac_coords": [[0.000, 0.000, 0.000], [0.500, 0.500, 0.500], [0.000, 0.000, 0.500], [0.000, 0.500, 0.250], [0.000, 0.500, 0.750], [0.500, 0.000, 0.250], [0.500, 0.000, 0.750], [0.500, 0.500, 0.000]]
}

***

Record 2
{
  "formula": "TcW7",
  "functional": "PBE",
  "state": "optimized geometry",
  "e_tot_ev_per_fu": -97.73,
  "space_group": "Fm-3m",
  "polymorph_energy_mev_per_atom": 386.9,
  "n_ef_per_ev_atom": 1.215,
  "lattice_angstrom": [[0.000, 4.020, 4.020], [4.020, 0.000, 4.020], [4.020, 4.020, 0.000]],
  "species": ["Tc", "W", "W", "W", "W", "W", "W", "W"],
  "frac_coords": [[0.000, 0.000, 0.000], [0.000, 0.000, 0.500], [0.000, 0.500, 0.000], [0.000, 0.500, 0.500], [0.500, 0.000, 0.000], [0.500, 0.000, 0.500], [0.500, 0.500, 0.000], [0.500, 0.500, 0.500]]
}

***

Record 3
{
  "formula": "TcW3",
  "functional": "PBE",
  "state": "optimized geometry",
  "e_tot_ev_per_fu": -49.07,
  "space_group": "Immm",
  "n_ef_per_ev_atom": 0.690,
  "lattice_angstrom": [[3.167, 0.000, 0.000], [0.000, 4.462, 0.000], [0.000, 0.000, 8.944]],
  "species": ["Tc", "Tc", "W", "W", "W", "W", "W", "W"],
  "frac_coords": [[0.000, 0.000, 0.000], [0.500, 0.500, 0.500], [0.000, 0.000, 0.500], [0.000, 0.500, 0.246], [0.000, 0.500, 0.754], [0.500, 0.000, 0.254], [0.500, 0.000, 0.746], [0.500, 0.500, 0.000]]
}

***

Record 4
{
  "formula": "Tc2W",
  "functional": "PBE",
  "state": "optimized geometry",
  "e_tot_ev_per_fu": -33.18,
  "space_group": "P6_3/mmc",
  "polymorph_energy_mev_per_atom": 74.0,
  "n_ef_per_ev_atom": 0.900,
  "lattice_angstrom": [[5.070, 0.000, 0.000], [-2.535, 4.391, 0.000], [0.000, 0.000, 8.332]],
  "species": ["Tc", "Tc", "Tc", "Tc", "Tc", "Tc", "Tc", "Tc", "W", "W", "W", "W"],
  "frac_coords": [[0.000, 0.000, 0.000], [0.000, 0.000, 0.500], [0.173, 0.346, 0.250], [0.173, 0.827, 0.250], [0.346, 0.173, 0.750], [0.654, 0.827, 0.250], [0.827, 0.173, 0.750], [0.827, 0.654, 0.750], [0.333, 0.667, 0.566], [0.333, 0.667, 0.934], [0.667, 0.333, 0.066], [0.667, 0.333, 0.434]]
}

***

Record 5
{
  "formula": "Tc2W",
  "functional": "PBE",
  "state": "optimized geometry",
  "e_tot_ev_per_fu": -32.32,
  "space_group": "P-62m",
  "polymorph_energy_mev_per_atom": 360.9,
  "n_ef_per_ev_atom": 0.605,
  "lattice_angstrom": [[6.388, 0.000, 0.000], [-3.194, 5.532, 0.000], [0.000, 0.000, 4.135]],
  "species": ["Tc", "Tc", "Tc", "Tc", "Tc", "Tc", "W", "W", "W"],
  "frac_coords": [[0.000, 0.247, 0.000], [0.000, 0.585, 0.500], [0.247, 0.000, 0.000], [0.415, 0.415, 0.500], [0.585, 0.000, 0.500], [0.753, 0.753, 0.000], [0.000, 0.000, 0.500], [0.333, 0.667, 0.000], [0.667, 0.333, 0.000]]
}

***

Record 6
{
  "formula": "Tc5W3",
  "functional": "PBE",
  "state": "optimized geometry",
  "e_tot_ev_per_fu": -90.03,
  "space_group": "Cmmm",
  "polymorph_energy_mev_per_atom": 0.0,
  "n_ef_per_ev_atom": 0.744,
  "lattice_angstrom": [[6.568, 0.000, 0.000], [0.000, 8.648, 0.000], [0.000, 0.000, 4.306]],
  "species": ["Tc", "Tc", "Tc", "Tc", "Tc", "Tc", "Tc", "Tc", "Tc", "Tc", "W", "W", "W", "W", "W", "W"],
  "frac_coords": [[0.000, 0.000, 0.000], [0.223, 0.500, 0.500], [0.250, 0.250, 0.000], [0.250, 0.750, 0.000], [0.277, 0.000, 0.500], [0.500, 0.500, 0.000], [0.723, 0.000, 0.500], [0.750, 0.250, 0.000], [0.750, 0.750, 0.000], [0.777, 0.500, 0.500], [0.000, 0.221, 0.500], [0.000, 0.500, 0.000], [0.000, 0.779, 0.500], [0.500, 0.000, 0.000], [0.500, 0.279, 0.500], [0.500, 0.721, 0.500]]
}

***

Record 7
{
  "formula": "TcW2",
  "functional": "PBE",
  "state": "optimized geometry",
  "e_tot_ev_per_fu": -35.45,
  "space_group": "I4_1/amd",
  "polymorph_energy_mev_per_atom": 225.9,
  "n_ef_per_ev_atom": 0.910,
  "lattice_angstrom": [[-1.981, 1.981, 12.065], [1.981, -1.981, 12.065], [1.981, 1.981, -12.065]],
  "species": ["Tc", "Tc", "Tc", "Tc", "W", "W", "W", "W", "W", "W", "W", "W"],
  "frac_coords": [[0.290, 0.540, 0.750], [0.460, 0.710, 0.750], [0.540, 0.290, 0.250], [0.710, 0.460, 0.250], [0.040, 0.790, 0.250], [0.124, 0.374, 0.750], [0.210, 0.960, 0.250], [0.374, 0.124, 0.250], [0.626, 0.876, 0.750], [0.790, 0.040, 0.750], [0.876, 0.626, 0.250], [0.960, 0.210, 0.750]]
}

***

Record 8
{
  "formula": "TcW3",
  "functional": "PBE",
  "state": "optimized geometry",
  "e_tot_ev_per_fu": -48.95,
  "space_group": "Cmmm",
  "n_ef_per_ev_atom": 0.856,
  "lattice_angstrom": [[3.162, 0.000, 0.000], [0.000, 4.491, 0.000], [0.000, 0.000, 8.911]],
  "species": ["Tc", "Tc", "W", "W", "W", "W", "W", "W"],
  "frac_coords": [[0.000, 0.000, 0.000], [0.500, 0.500, 0.000], [0.000, 0.000, 0.500], [0.000, 0.500, 0.247], [0.000, 0.500, 0.753], [0.500, 0.000, 0.247], [0.500, 0.000, 0.753], [0.500, 0.500, 0.500]]
}

***

no.,calculated formation energy (eV/atom)
1,0.329
2,0.413
3,0.038
4,0.168
5,0.455
6,0.083
7,0.273
8,0.068